# V14MoRu, optimized geometry, DFT PBE
# calculated total energy = -9.34 eV per atom
# spin magnetization = 0.0 μB/f.u.
# calculated formation energy = -0.10 eV per atom
# crystal system = tetragonal
data_V14MoRu
_chemical_formula_sum 'V14 Mo1 Ru1'
_cell_length_a 6.010
_cell_length_b 6.010
_cell_length_c 6.015
_cell_angle_alpha 90.00
_cell_angle_beta 90.00
_cell_angle_gamma 90.00
_symmetry_space_group_name_H-M 'P 4/m m m'
_symmetry_Int_Tables_number 123
_symmetry_space_group_name_Hall '-P 4 2'
loop_
_atom_site_label
_atom_site_type_symbol
_atom_site_fract_x
_atom_site_fract_y
_atom_site_fract_z
_atom_site_occupancy
V1 V 0.000 0.000 0.000 1
V2 V 0.000 0.500 0.000 1
V3 V 0.000 0.500 0.500 1
V4 V 0.249 0.249 0.249 1
V5 V 0.500 0.500 0.000 1
Mo1 Mo 0.500 0.500 0.500 1
Ru1 Ru 0.000 0.000 0.500 1



# VMoRu2, optimized geometry, DFT PBE
# calculated total energy = -9.55 eV per atom
# spin magnetization = 1.5 μB/f.u.
# polymorph energy (0 for the lowest one) = 0.1784 eV/atom
# calculated formation energy = 0.08 eV per atom
# crystal system = cubic
data_VMoRu2
_chemical_formula_sum 'V4 Mo4 Ru8'
_cell_length_a 6.145
_cell_length_b 6.145
_cell_length_c 6.145
_cell_angle_alpha 90.00
_cell_angle_beta 90.00
_cell_angle_gamma 90.00
_symmetry_space_group_name_H-M 'F m -3 m'
_symmetry_Int_Tables_number 225
_symmetry_space_group_name_Hall '-F 4 2 3'
loop_
_atom_site_label
_atom_site_type_symbol
_atom_site_fract_x
_atom_site_fract_y
_atom_site_fract_z
_atom_site_occupancy
V1 V 0.000 0.000 0.000 1
Mo1 Mo 0.000 0.000 0.500 1
Ru1 Ru 0.250 0.250 0.250 1



# V6MoRu2, optimized geometry, DFT PBE
# calculated total energy = -9.51 eV per atom
# spin magnetization = 0.0 μB/f.u.
# polymorph energy (0 for the lowest one) = 0.0000 eV/atom
# calculated formation energy = -0.17 eV per atom
# crystal system = trigonal
data_V6MoRu2
_chemical_formula_sum 'V6 Mo1 Ru2'
_cell_length_a 4.2910
_cell_length_b 4.2910
_cell_length_c 7.7763
_cell_angle_alpha 90.00
_cell_angle_beta 90.00
_cell_angle_gamma 120.00
_symmetry_space_group_name_H-M 'P -3 m 1'
_symmetry_Int_Tables_number 164
_symmetry_space_group_name_Hall '-P 3 2"'
loop_
_atom_site_label
_atom_site_type_symbol
_atom_site_fract_x
_atom_site_fract_y
_atom_site_fract_z
_atom_site_occupancy
V1 V 0.0000 0.0000 0.1621 1
V2 V 0.3333 0.6667 0.2702 1
V3 V 0.3333 0.6667 0.6109 1
Mo1 Mo 0.0000 0.0000 0.5000 1
Ru1 Ru 0.3333 0.6667 0.9297 1



# VMo2Ru5, optimized geometry, DFT PBE
# calculated total energy = -9.66 eV per atom
# spin magnetization = 0.0 μB/f.u.
# calculated formation energy = -0.01 eV per atom
# crystal system = tetragonal
data_VMo2Ru5
_chemical_formula_sum 'V2 Mo4 Ru10'
_cell_length_a 5.491
_cell_length_b 5.491
_cell_length_c 7.625
_cell_angle_alpha 90.00
_cell_angle_beta 90.00
_cell_angle_gamma 90.00
_symmetry_space_group_name_H-M 'I 4/m m m'
_symmetry_Int_Tables_number 139
_symmetry_space_group_name_Hall '-I 4 2'
loop_
_atom_site_label
_atom_site_type_symbol
_atom_site_fract_x
_atom_site_fract_y
_atom_site_fract_z
_atom_site_occupancy
V1 V 0.000 0.000 0.000 1
Mo1 Mo 0.000 0.500 0.000 1
Ru1 Ru 0.000 0.000 0.500 1
Ru2 Ru 0.250 0.250 0.250 1



Repeat the fourth record exactly.
# VMo2Ru5, optimized geometry, DFT PBE
# calculated total energy = -9.66 eV per atom
# spin magnetization = 0.0 μB/f.u.
# calculated formation energy = -0.01 eV per atom
# crystal system = tetragonal
data_VMo2Ru5
_chemical_formula_sum 'V2 Mo4 Ru10'
_cell_length_a 5.491
_cell_length_b 5.491
_cell_length_c 7.625
_cell_angle_alpha 90.00
_cell_angle_beta 90.00
_cell_angle_gamma 90.00
_symmetry_space_group_name_H-M 'I 4/m m m'
_symmetry_Int_Tables_number 139
_symmetry_space_group_name_Hall '-I 4 2'
loop_
_atom_site_label
_atom_site_type_symbol
_atom_site_fract_x
_atom_site_fract_y
_atom_site_fract_z
_atom_site_occupancy
V1 V 0.000 0.000 0.000 1
Mo1 Mo 0.000 0.500 0.000 1
Ru1 Ru 0.000 0.000 0.500 1
Ru2 Ru 0.250 0.250 0.250 1



Q: What is the calculated total energy in the third record?
A: -9.51 eV per atom



Q: Which value of calculated formation energy does entry 2 give?
A: 0.08 eV per atom